An optimized crystal structure of Cs2Li2MnF6. Source: the Alexandria database, functional PBE+U.

Properties
N(E_F) in states/eV per cell: 0.000
Theoretical density in g/cm3: 3.85
Energy in eV per atom: -4.974
Total magnetization in μB per atom: 0.4545

CIF file:
```
data_Cs2Li2MnF6
_cell_length_a 6.1540
_cell_length_b 6.1540
_cell_length_c 17.7161
_cell_angle_alpha 90.00
_cell_angle_beta 90.00
_cell_angle_gamma 120.00
_space_group_name_H-M_alt 'R -3 m'
_space_group_IT_number 166
_space_group_name_Hall '-R 3 2"'
loop_
_atom_site_label
_atom_site_type_symbol
_atom_site_fract_x
_atom_site_fract_y
_atom_site_fract_z
Cs1 Cs 0.0000 0.0000 0.2223
Li1 Li 0.0000 0.0000 0.4090
Mn1 Mn 0.0000 0.0000 0.0000
F1 F 0.0060 0.5030 0.7393
```